VASP calculation (PBE) on a geometry-optimized RbTi2Au structure.

Properties
Formation energy from the elements ... 0.854 eV per atom
Total moment ... 0.000 Bohr magnetons per cell

Cell and atoms, written as CIF:
```
data_RbTi2Au
_chemical_formula_sum 'Rb4 Ti8 Au4'
_space_group_name_H-M_alt 'F m -3 m'
_space_group_IT_number 225
_space_group_name_Hall '-F 4 2 3'
_cell_length_a 6.858
_cell_length_b 6.858
_cell_length_c 6.858
_cell_angle_alpha 90.00
_cell_angle_beta 90.00
_cell_angle_gamma 90.00
loop_
_atom_site_label
_atom_site_type_symbol
_atom_site_fract_x
_atom_site_fract_y
_atom_site_fract_z
Rb1 Rb 0.000 0.000 0.000
Ti1 Ti 0.250 0.250 0.250
Au1 Au 0.000 0.000 0.500
```